Density functional theory data (PBE) for a relaxed Ba2CuBiO crystal.

spin magnetization: 0.000 Bohr magnetons per cell
D(E_F): 0.0494 states/eV per atom
energy relative to the lowest polymorph listed for this composition: 0.000 eV per atom

abc: 7.2865 4.4722 9.3066
angles: 90.00 108.71 90.00
With the nearest neighbours (Å) after each atom.
Space group P2_1/m (No. 11)
Unique sites:
1 Ba 0.2083 0.2500 0.3769 (multiplicity 2)  2 O 2.96
2 Ba 0.2134 0.2500 0.9699 (multiplicity 2)  1 O 2.61
3 Cu 0.4491 0.7500 0.2380 (multiplicity 2)  1 O 1.99
4 Bi 0.3272 0.7500 0.7001 (multiplicity 2)  2 Cu 2.72
5 O 0.1616 0.7500 0.1591 (multiplicity 2)  1 Cu 1.99